Record 1
DFT (PBE) results for Co2NiSb after structural relaxation.

a = 7.677 Å, b = 7.677 Å, c = 7.677 Å
α = 22.56°, β = 22.56°, γ = 22.56°
Fractional coordinates of all 4 atoms:
Co1 0.252 0.252 0.252
Ni1 0.505 0.505 0.505
Sb1 0.751 0.751 0.751
Co2 0.992 0.992 0.992

## Properties
As for the size of the total moment: 3.40 μB/f.u. The calculation puts the formation energy without anion corrections at 0.455 eV per atom. As for the total energy: -0.2048 hartree per atom.

***

Record 2
DFT (PBE) results for LaCeDyTl after structural relaxation.

a = 5.521 Å, b = 5.521 Å, c = 5.521 Å
α = 60.00°, β = 60.00°, γ = 60.00°
Fractional coordinates of all 4 atoms:
Tl1 0.750 0.750 0.750
Ce1 0.250 0.250 0.250
Dy1 0.000 0.000 0.000
La1 0.500 0.500 0.500

## Properties
As for the size of the total moment: 0.36 μB/f.u. As for the total energy: -0.1638 hartree per atom. The value obtained for the formation energy is 0 meV per atom.

***

Record 3
DFT (PBE) results for PaBiH after structural relaxation.

a = 4.392 Å, b = 4.061 Å, c = 4.061 Å
α = 120.00°, β = 90.00°, γ = 90.00°
Fractional coordinates of all 3 atoms:
Bi1 0.667 0.333 0.667
Pa1 0.167 0.667 0.333
H1 0.167 0.000 0.000

## Properties
As for the size of the total moment: 0.99 μB/f.u. As for the total energy: -0.2169 hartree per atom. The energy above the most stable polymorph in this dataset is 0.0 meV/atom.

***

Record 4
DFT (PBE) results for Hf2ZrCu after structural relaxation.

a = 4.793 Å, b = 4.793 Å, c = 4.793 Å
α = 60.00°, β = 60.00°, γ = 60.00°
Fractional coordinates of all 4 atoms:
Cu1 0.000 0.000 0.000
Hf1 0.750 0.750 0.750
Hf2 0.250 0.250 0.250
Zr1 0.500 0.500 0.500

## Properties
As for the size of the total moment: 0.00 μB/f.u. As for the total energy: -0.2931 hartree per atom. The value obtained for the formation energy is 163 meV per atom. The energy above the most stable polymorph in this dataset is 246.8 meV/atom.

***

Record 5
DFT (PBE) results for La3Pr2 after structural relaxation.

a = 7.096 Å, b = 7.096 Å, c = 9.703 Å
α = 68.55°, β = 68.55°, γ = 60.00°
Fractional coordinates of all 10 atoms:
La1 0.749 0.250 0.250
Pr1 0.190 0.190 0.429
La2 0.251 0.750 0.750
La3 0.751 0.749 0.250
La4 0.249 0.251 0.750
Pr2 0.810 0.810 0.571
La5 0.250 0.751 0.250
Pr3 0.690 0.690 0.929
Pr4 0.310 0.310 0.071
La6 0.750 0.249 0.750

## Properties
As for the size of the total moment: 0.00 μB/f.u. As for the total energy: -0.1706 hartree per atom. The value obtained for the formation energy is 226 meV per atom. The energy above the most stable polymorph in this dataset is 136.7 meV/atom.

***

Record 6
DFT (PBE) results for ZnAuCl2 after structural relaxation.

a = 6.910 Å, b = 6.910 Å, c = 6.910 Å
α = 152.89°, β = 135.04°, γ = 53.29°
Fractional coordinates of all 4 atoms:
Cl1 0.890 0.890 0.000
Cl2 0.610 0.610 0.000
Zn1 0.750 0.250 0.500
Au1 0.250 0.750 0.500

## Properties
As for the size of the total moment: 0.00 μB/f.u. The calculation puts the formation energy without anion corrections at -0.273 eV per atom. As for the total energy: -0.0858 hartree per atom. The energy above the most stable polymorph in this dataset is 180.1 meV/atom.

***

Record 7
DFT (PBE) results for Ce2PrSe4 after structural relaxation.

a = 4.111 Å, b = 7.310 Å, c = 14.134 Å
α = 90.00°, β = 90.00°, γ = 106.33°
Fractional coordinates of all 14 atoms:
Ce1 0.867 0.734 0.932
Se1 0.224 0.448 0.876
Se2 0.776 0.552 0.376
Se3 0.776 0.552 0.124
Pr1 0.378 0.756 0.250
Se4 0.033 0.066 0.250
Ce2 0.133 0.266 0.068
Se5 0.500 0.000 0.500
Pr2 0.622 0.244 0.750
Ce3 0.133 0.266 0.432
Se6 0.967 0.934 0.750
Se7 0.500 0.000 0.000
Ce4 0.867 0.734 0.568
Se8 0.224 0.448 0.624

## Properties
As for the size of the total moment: 2.38 μB/f.u. The calculation puts the formation energy without anion corrections at -1.804 eV per atom. As for the total energy: -0.2269 hartree per atom. The energy above the most stable polymorph in this dataset is 5.5 meV/atom.

***

Record 8
DFT (PBE) results for ScInSeS after structural relaxation.

a = 3.833 Å, b = 3.833 Å, c = 8.000 Å
α = 89.98°, β = 103.88°, γ = 119.99°
Fractional coordinates of all 4 atoms:
S1 0.513 0.155 0.683
Sc1 0.296 0.546 0.858
In1 0.964 0.380 0.359
Se1 0.104 0.950 0.070

## Properties
As for the size of the total moment: 0.00 μB/f.u. The calculation puts the formation energy without anion corrections at -1.230 eV per atom. As for the total energy: -0.1985 hartree per atom.

***

Record 9
DFT (PBE) results for SrTm2Tl3Se6 after structural relaxation.

a = 7.414 Å, b = 7.414 Å, c = 7.883 Å
α = 99.13°, β = 99.13°, γ = 120.05°
Fractional coordinates of all 12 atoms:
Se1 0.072 0.431 0.214
Tl1 0.500 0.500 0.500
Tl2 0.839 0.161 0.500
Se2 0.709 0.709 0.205
Tl3 0.161 0.839 0.500
Sr1 0.000 0.000 0.000
Se3 0.569 0.928 0.786
Se4 0.291 0.291 0.795
Tm1 0.669 0.331 0.000
Tm2 0.331 0.669 0.000
Se5 0.431 0.072 0.214
Se6 0.928 0.569 0.786

## Properties
As for the size of the total moment: 0.00 μB/f.u. The calculation puts the formation energy without anion corrections at -1.273 eV per atom. As for the total energy: -0.1651 hartree per atom.

***

Record 10
DFT (PBE) results for Zn2FeS2 after structural relaxation.

a = 6.748 Å, b = 6.748 Å, c = 3.734 Å
α = 90.00°, β = 90.00°, γ = 90.00°
Fractional coordinates of all 10 atoms:
Zn1 0.373 0.127 0.500
Fe1 0.500 0.500 0.000
Zn2 0.873 0.373 0.500
S1 0.279 0.779 0.000
S2 0.221 0.279 0.000
Zn3 0.627 0.873 0.500
S3 0.779 0.721 0.000
Zn4 0.127 0.627 0.500
S4 0.721 0.221 0.000
Fe2 0.000 0.000 0.000

## Properties
As for the size of the total moment: 2.90 μB/f.u. The calculation puts the formation energy without anion corrections at -0.014 eV per atom. As for the total energy: -0.1421 hartree per atom. The energy above the most stable polymorph in this dataset is 0.0 meV/atom.

***

Record 11
DFT (PBE) results for CuReSi3 after structural relaxation.

a = 4.682 Å, b = 4.682 Å, c = 4.682 Å
α = 90.00°, β = 90.00°, γ = 90.00°
Fractional coordinates of all 5 atoms:
Re1 0.000 0.000 0.000
Cu1 0.500 0.500 0.500
Si1 0.500 0.000 0.000
Si2 0.000 0.000 0.500
Si3 0.000 0.500 0.000

## Properties
As for the size of the total moment: 0.00 μB/f.u. The calculation puts the formation energy without anion corrections at 0.658 eV per atom. As for the total energy: -0.2170 hartree per atom.

***

Record 12
DFT (PBE) results for TbNd2OsN4 after structural relaxation.

a = 3.453 Å, b = 6.221 Å, c = 12.182 Å
α = 90.00°, β = 90.00°, γ = 106.11°
Fractional coordinates of all 16 atoms:
N1 0.000 0.000 0.500
N2 0.000 0.000 0.000
N3 0.274 0.548 0.139
N4 0.726 0.452 0.861
Nd1 0.632 0.265 0.041
Tb1 0.129 0.257 0.750
Nd2 0.368 0.735 0.541
N5 0.274 0.548 0.361
Nd3 0.632 0.265 0.459
Nd4 0.368 0.735 0.959
Tb2 0.871 0.743 0.250
N6 0.726 0.452 0.639
N7 0.437 0.873 0.750
Os1 0.143 0.286 0.250
N8 0.563 0.127 0.250
Os2 0.857 0.714 0.750

## Properties
As for the size of the total moment: 0.00 μB/f.u. The calculation puts the formation energy without anion corrections at -0.777 eV per atom. As for the total energy: -0.2982 hartree per atom.